[1]
Sm3Si5Ir6 | Alexandria via LeMat-Bulk | GGA-PBE | optimized geometry; ΔE_f (raw) = -0.98 eV per atom; calculated total energy = -7.7224 eV/atom; spin magnetization = 0.00 μB per cell
1.0
-3.052 -0.853 2.499
-1.616 -8.398 -4.840
7.880 -5.902 7.610
Ir Si Sm
12 10 6
Cartesian
-0.583 -4.944 0.859
2.361 -11.157 -0.924
2.152 -12.679 1.559
4.129 -8.473 5.410
1.381 -6.831 -0.644
-0.518 -10.680 -1.020
4.549 -9.204 2.415
-1.563 -0.618 1.139
-2.345 -4.685 -1.205
6.527 -4.997 6.266
1.317 -1.095 1.234
3.144 -7.090 1.420
4.741 -6.549 6.813
6.091 -9.493 4.200
1.191 -9.071 -1.641
-0.393 -2.704 1.856
0.130 -5.028 -1.557
3.938 -11.128 1.012
-1.443 -7.500 -4.322
2.242 -4.275 4.537
2.587 -8.184 3.625
0.668 -6.747 1.772
4.763 -5.996 3.770
-0.416 -2.163 -1.246
2.300 -4.152 1.392
3.916 -11.680 4.054
1.215 -9.612 1.461
-1.502 -7.623 -1.177



[2]
K2RbPbF | Alexandria via LeMat-Bulk | GGA-PBE | optimized geometry; ΔE_f (raw) = -1.05 eV per atom; calculated total energy = -2.7941 eV/atom; spin magnetization = 1.01 μB per cell
1.0
-3.304 -2.036 -3.976
3.465 -4.289 -0.684
-2.914 -2.984 3.949
K F Rb Pb
2 1 1 1
Cartesian
1.733 -2.144 -0.342
-1.652 -1.018 -1.988
0.000 0.000 0.000
-1.457 -1.492 1.974
-1.376 -4.654 -0.355



[3]
LiMgRh2 | Alexandria via LeMat-Bulk | GGA-PBE | optimized geometry; ΔH_f (0 K) = -0.19 eV per atom; calculated total energy = -4.7461 eV/atom; spin magnetization = 0.00 μB per cell
1.0
3.043 0.000 0.000
0.000 3.043 0.000
0.000 0.000 6.023
Rh Mg Li
2 1 1
Cartesian
0.000 0.000 2.886
0.000 0.000 0.126
1.521 1.521 4.518
1.521 1.521 1.506